This record from the Alexandria database describes an optimized crystal structure of PrSmTc. The functional is PBE.

Cell and atoms, written as POSCAR:
```
PrSmTc
1.0
6.680 -2.508 0.000
6.680 2.508 0.000
-0.006 0.000 4.968
Pr Sm Tc
2 2 2
Direct
0.119 0.119 0.249
0.881 0.881 0.751
0.373 0.373 0.251
0.627 0.627 0.749
0.249 0.249 0.750
0.751 0.751 0.250
```

Calculated values
- Energy relative to the lowest polymorph listed for this composition: 0 meV/atom
- Uncorrected energy: -6.521 eV/atom
- Calculated formation energy: 0.101 eV/atom
- Symmetry: C2/m (12)
- N(E_F): 7.22 states/eV/cell